[1]
DFT (PBE) results for a relaxed La2FeCuTe crystal.

Geometry as CIF:
```
data_La2FeCuTe
_chemical_formula_sum 'La2 Fe1 Cu1 Te1'
_cell_length_a 5.5309
_cell_length_b 5.5309
_cell_length_c 4.8273
_cell_angle_alpha 90.00
_cell_angle_beta 90.00
_cell_angle_gamma 90.00
_space_group_name_H-M_alt 'P 4/m m m'
_space_group_IT_number 123
_space_group_name_Hall '-P 4 2'
loop_
_atom_site_label
_atom_site_type_symbol
_atom_site_fract_x
_atom_site_fract_y
_atom_site_fract_z
La1 La 0.0000 0.5000 0.0000
Fe1 Fe 0.0000 0.0000 0.5000
Cu1 Cu 0.5000 0.5000 0.0000
Te1 Te 0.5000 0.5000 0.5000
```

Properties
* formation energy from raw total energies: 0.3093 eV/atom
* DOS at the Fermi energy: 1.313 states/eV per atom

[2]
DFT (PBE) results for a relaxed LaYFeCu crystal.

Geometry as CIF:
```
data_LaYFeCu
_chemical_formula_sum 'La4 Y4 Fe4 Cu4'
_cell_length_a 7.0338
_cell_length_b 7.0338
_cell_length_c 7.0338
_cell_angle_alpha 90.00
_cell_angle_beta 90.00
_cell_angle_gamma 90.00
_space_group_name_H-M_alt 'F -4 3 m'
_space_group_IT_number 216
_space_group_name_Hall 'F -4 2 3'
loop_
_atom_site_label
_atom_site_type_symbol
_atom_site_fract_x
_atom_site_fract_y
_atom_site_fract_z
La1 La 0.0000 0.0000 0.0000
Y1 Y 0.0000 0.0000 0.5000
Fe1 Fe 0.2500 0.2500 0.2500
Cu1 Cu 0.2500 0.2500 0.7500
```

Properties
* formation energy: 0.054 eV per atom
* DOS at the Fermi energy: 1.333 states/eV per atom

[3]
DFT (PBE) results for a relaxed La2YFeCu crystal.

Geometry as CIF:
```
data_La2YFeCu
_chemical_formula_sum 'La2 Y1 Fe1 Cu1'
_cell_length_a 5.0659
_cell_length_b 5.0659
_cell_length_c 5.0516
_cell_angle_alpha 90.00
_cell_angle_beta 90.00
_cell_angle_gamma 90.00
_space_group_name_H-M_alt 'P 4/m m m'
_space_group_IT_number 123
_space_group_name_Hall '-P 4 2'
loop_
_atom_site_label
_atom_site_type_symbol
_atom_site_fract_x
_atom_site_fract_y
_atom_site_fract_z
La1 La 0.0000 0.5000 0.0000
Y1 Y 0.0000 0.0000 0.5000
Fe1 Fe 0.5000 0.5000 0.0000
Cu1 Cu 0.5000 0.5000 0.5000
```

Properties
* formation energy: 0.286 eV per atom
* DOS at the Fermi energy: 1.198 states/eV per atom

[4]
DFT (PBE) results for a relaxed LiFeCu crystal.

Geometry as CIF:
```
data_LiFeCu
_chemical_formula_sum 'Li4 Fe4 Cu4'
_cell_length_a 2.7187
_cell_length_b 4.1641
_cell_length_c 13.1503
_cell_angle_alpha 90.00
_cell_angle_beta 90.00
_cell_angle_gamma 90.00
_space_group_name_H-M_alt 'F m m 2'
_space_group_IT_number 42
_space_group_name_Hall 'F 2 -2'
loop_
_atom_site_label
_atom_site_type_symbol
_atom_site_fract_x
_atom_site_fract_y
_atom_site_fract_z
Li1 Li 0.0000 0.0000 0.0000
Fe1 Fe 0.0000 0.0000 0.3284
Cu1 Cu 0.0000 0.0000 0.6655
```

Properties
* offset from the most stable computed form: 0.000 eV per atom
* formation energy: 0.146 eV per atom
* DOS at the Fermi energy: 0.520 states/eV per atom

[5]
DFT (PBE) results for a relaxed LiFe4Cu crystal.

Geometry as CIF:
```
data_LiFe4Cu
_chemical_formula_sum 'Li4 Fe16 Cu4'
_cell_length_a 6.6652
_cell_length_b 6.6652
_cell_length_c 6.6652
_cell_angle_alpha 90.00
_cell_angle_beta 90.00
_cell_angle_gamma 90.00
_space_group_name_H-M_alt 'F -4 3 m'
_space_group_IT_number 216
_space_group_name_Hall 'F -4 2 3'
loop_
_atom_site_label
_atom_site_type_symbol
_atom_site_fract_x
_atom_site_fract_y
_atom_site_fract_z
Li1 Li 0.0000 0.0000 0.0000
Fe1 Fe 0.1252 0.1252 0.3748
Cu1 Cu 0.2500 0.2500 0.7500
```

Properties
* formation energy: 0.268 eV per atom
* DOS at the Fermi energy: 0.626 states/eV per atom

[6]
DFT (PBE) results for a relaxed LiFe2Cu crystal.

Geometry as CIF:
```
data_LiFe2Cu
_chemical_formula_sum 'Li1 Fe2 Cu1'
_cell_length_a 2.4639
_cell_length_b 2.4639
_cell_length_c 8.1003
_cell_angle_alpha 90.00
_cell_angle_beta 90.00
_cell_angle_gamma 90.00
_space_group_name_H-M_alt 'P 4/m m m'
_space_group_IT_number 123
_space_group_name_Hall '-P 4 2'
loop_
_atom_site_label
_atom_site_type_symbol
_atom_site_fract_x
_atom_site_fract_y
_atom_site_fract_z
Li1 Li 0.0000 0.0000 0.0000
Fe1 Fe 0.5000 0.5000 0.2626
Cu1 Cu 0.0000 0.0000 0.5000
```

Properties
* formation energy: 0.254 eV per atom
* DOS at the Fermi energy: 1.191 states/eV per atom

[7]
DFT (PBE) results for a relaxed LiFe2Cu crystal.

Geometry as CIF:
```
data_LiFe2Cu
_chemical_formula_sum 'Li4 Fe8 Cu4'
_cell_length_a 5.7276
_cell_length_b 5.7276
_cell_length_c 5.7276
_cell_angle_alpha 90.00
_cell_angle_beta 90.00
_cell_angle_gamma 90.00
_space_group_name_H-M_alt 'F -4 3 m'
_space_group_IT_number 216
_space_group_name_Hall 'F -4 2 3'
loop_
_atom_site_label
_atom_site_type_symbol
_atom_site_fract_x
_atom_site_fract_y
_atom_site_fract_z
Li1 Li 0.0000 0.0000 0.0000
Fe1 Fe 0.0000 0.0000 0.5000
Fe2 Fe 0.2500 0.2500 0.2500
Cu1 Cu 0.2500 0.2500 0.7500
```

Properties
* formation energy: 0.245 eV per atom
* DOS at the Fermi energy: 1.052 states/eV per atom

[8]
DFT (PBE) results for a relaxed LiFe2Cu crystal.

Geometry as CIF:
```
data_LiFe2Cu
_chemical_formula_sum 'Li2 Fe4 Cu2'
_cell_length_a 2.8390
_cell_length_b 4.0474
_cell_length_c 8.4475
_cell_angle_alpha 90.00
_cell_angle_beta 90.00
_cell_angle_gamma 90.00
_space_group_name_H-M_alt 'C m m 2'
_space_group_IT_number 35
_space_group_name_Hall 'C 2 -2'
loop_
_atom_site_label
_atom_site_type_symbol
_atom_site_fract_x
_atom_site_fract_y
_atom_site_fract_z
Li1 Li 0.0000 0.0000 0.0000
Fe1 Fe 0.0000 0.0000 0.5019
Fe2 Fe 0.0000 0.5000 0.7369
Cu1 Cu 0.0000 0.5000 0.2551
```

Properties
* formation energy: 0.102 eV per atom
* DOS at the Fermi energy: 0.525 states/eV per atom

[9]
DFT (PBE) results for a relaxed LiFe2Cu crystal.

Geometry as CIF:
```
data_LiFe2Cu
_chemical_formula_sum 'Li1 Fe2 Cu1'
_cell_length_a 2.4744
_cell_length_b 2.4744
_cell_length_c 8.0411
_cell_angle_alpha 90.00
_cell_angle_beta 90.00
_cell_angle_gamma 90.00
_space_group_name_H-M_alt 'P 4 m m'
_space_group_IT_number 99
_space_group_name_Hall 'P 4 -2'
loop_
_atom_site_label
_atom_site_type_symbol
_atom_site_fract_x
_atom_site_fract_y
_atom_site_fract_z
Li1 Li 0.0000 0.0000 0.0000
Fe1 Fe 0.0000 0.0000 0.4926
Fe2 Fe 0.5000 0.5000 0.7314
Cu1 Cu 0.5000 0.5000 0.2544
```

Properties
* formation energy: 0.135 eV per atom
* DOS at the Fermi energy: 0.683 states/eV per atom

[10]
DFT (PBE) results for a relaxed LiFe2Cu crystal.

Geometry as CIF:
```
data_LiFe2Cu
_chemical_formula_sum 'Li2 Fe4 Cu2'
_cell_length_a 2.7071
_cell_length_b 4.0823
_cell_length_c 8.7931
_cell_angle_alpha 90.00
_cell_angle_beta 90.00
_cell_angle_gamma 90.00
_space_group_name_H-M_alt 'C m m m'
_space_group_IT_number 65
_space_group_name_Hall '-C 2 2'
loop_
_atom_site_label
_atom_site_type_symbol
_atom_site_fract_x
_atom_site_fract_y
_atom_site_fract_z
Li1 Li 0.0000 0.0000 0.0000
Fe1 Fe 0.0000 0.5000 0.2563
Cu1 Cu 0.0000 0.0000 0.5000
```

Properties
* formation energy: 0.214 eV per atom
* DOS at the Fermi energy: 0.683 states/eV per atom

[11]
DFT (PBE) results for a relaxed LiFeCu crystal.

Geometry as CIF:
```
data_LiFeCu
_chemical_formula_sum 'Li2 Fe2 Cu2'
_cell_length_a 2.5098
_cell_length_b 2.5098
_cell_length_c 11.9365
_cell_angle_alpha 90.00
_cell_angle_beta 90.00
_cell_angle_gamma 90.00
_space_group_name_H-M_alt 'I 4 m m'
_space_group_IT_number 107
_space_group_name_Hall 'I 4 -2'
loop_
_atom_site_label
_atom_site_type_symbol
_atom_site_fract_x
_atom_site_fract_y
_atom_site_fract_z
Li1 Li 0.0000 0.0000 0.0000
Fe1 Fe 0.0000 0.0000 0.3233
Cu1 Cu 0.0000 0.0000 0.6675
```

Properties
* offset from the most stable computed form: 0.021 eV per atom
* formation energy: 0.167 eV per atom
* DOS at the Fermi energy: 0.695 states/eV per atom

[12]
DFT (PBE) results for a relaxed Li3FeCu crystal.

Geometry as CIF:
```
data_Li3FeCu
_chemical_formula_sum 'Li3 Fe1 Cu1'
_cell_length_a 4.6562
_cell_length_b 4.6562
_cell_length_c 4.6562
_cell_angle_alpha 90.00
_cell_angle_beta 90.00
_cell_angle_gamma 90.00
_space_group_name_H-M_alt 'P m -3 m'
_space_group_IT_number 221
_space_group_name_Hall '-P 4 2 3'
loop_
_atom_site_label
_atom_site_type_symbol
_atom_site_fract_x
_atom_site_fract_y
_atom_site_fract_z
Li1 Li 0.0000 0.0000 0.5000
Fe1 Fe 0.0000 0.0000 0.0000
Cu1 Cu 0.5000 0.5000 0.5000
```

Properties
* offset from the most stable computed form: 0.216 eV per atom
* formation energy: 0.920 eV per atom
* DOS at the Fermi energy: 0.628 states/eV per atom

[13]
DFT (PBE) results for a relaxed LiFeCu crystal.

Geometry as CIF:
```
data_LiFeCu
_chemical_formula_sum 'Li2 Fe2 Cu2'
_cell_length_a 2.4944
_cell_length_b 4.5971
_cell_length_c 6.6222
_cell_angle_alpha 99.85
_cell_angle_beta 90.99
_cell_angle_gamma 90.65
_space_group_name_H-M_alt 'P -1'
_space_group_IT_number 2
_space_group_name_Hall '-P 1'
loop_
_atom_site_label
_atom_site_type_symbol
_atom_site_fract_x
_atom_site_fract_y
_atom_site_fract_z
Li1 Li 0.2386 0.2521 0.0036
Fe1 Fe 0.2868 0.0432 0.3467
Cu1 Cu 0.2309 0.4602 0.6673
```

Properties
* offset from the most stable computed form: 0.011 eV per atom
* formation energy: 0.157 eV per atom
* DOS at the Fermi energy: 0.645 states/eV per atom

[14]
DFT (PBE) results for a relaxed LiFeCu crystal.

Geometry as CIF:
```
data_LiFeCu
_chemical_formula_sum 'Li2 Fe2 Cu2'
_cell_length_a 2.4534
_cell_length_b 3.9115
_cell_length_c 7.6839
_cell_angle_alpha 90.00
_cell_angle_beta 90.00
_cell_angle_gamma 90.00
_space_group_name_H-M_alt 'I m m 2'
_space_group_IT_number 44
_space_group_name_Hall 'I 2 -2'
loop_
_atom_site_label
_atom_site_type_symbol
_atom_site_fract_x
_atom_site_fract_y
_atom_site_fract_z
Li1 Li 0.0000 0.0000 0.0000
Fe1 Fe 0.0000 0.0000 0.3256
Cu1 Cu 0.0000 0.0000 0.6689
```

Properties
* offset from the most stable computed form: 0.061 eV per atom
* formation energy: 0.207 eV per atom
* DOS at the Fermi energy: 0.530 states/eV per atom

[15]
DFT (PBE) results for a relaxed LiFe2Cu crystal.

Geometry as CIF:
```
data_LiFe2Cu
_chemical_formula_sum 'Li2 Fe4 Cu2'
_cell_length_a 8.8808
_cell_length_b 2.4830
_cell_length_c 4.3759
_cell_angle_alpha 90.00
_cell_angle_beta 98.99
_cell_angle_gamma 90.00
_space_group_name_H-M_alt 'C 1 2/m 1'
_space_group_IT_number 12
_space_group_name_Hall '-C 2y'
loop_
_atom_site_label
_atom_site_type_symbol
_atom_site_fract_x
_atom_site_fract_y
_atom_site_fract_z
Li1 Li 0.0000 0.0000 0.0000
Fe1 Fe 0.2433 0.0000 0.7439
Cu1 Cu 0.0000 0.5000 0.5000
```

Properties
* formation energy: 0.171 eV per atom
* DOS at the Fermi energy: 0.911 states/eV per atom

[16]
DFT (PBE) results for a relaxed LiFeCu crystal.

Geometry as CIF:
```
data_LiFeCu
_chemical_formula_sum 'Li4 Fe4 Cu4'
_cell_length_a 5.6332
_cell_length_b 5.6332
_cell_length_c 5.6332
_cell_angle_alpha 90.00
_cell_angle_beta 90.00
_cell_angle_gamma 90.00
_space_group_name_H-M_alt 'F -4 3 m'
_space_group_IT_number 216
_space_group_name_Hall 'F -4 2 3'
loop_
_atom_site_label
_atom_site_type_symbol
_atom_site_fract_x
_atom_site_fract_y
_atom_site_fract_z
Li1 Li 0.0000 0.0000 0.0000
Fe1 Fe 0.0000 0.0000 0.5000
Cu1 Cu 0.2500 0.2500 0.7500
```

Properties
* offset from the most stable computed form: 0.436 eV per atom
* formation energy: 0.582 eV per atom
* DOS at the Fermi energy: 1.279 states/eV per atom

[17]
DFT (PBE) results for a relaxed LiFe2Cu crystal.

Geometry as CIF:
```
data_LiFe2Cu
_chemical_formula_sum 'Li2 Fe4 Cu2'
_cell_length_a 2.8410
_cell_length_b 4.2128
_cell_length_c 8.0221
_cell_angle_alpha 90.00
_cell_angle_beta 90.00
_cell_angle_gamma 90.00
_space_group_name_H-M_alt 'I m m 2'
_space_group_IT_number 44
_space_group_name_Hall 'I 2 -2'
loop_
_atom_site_label
_atom_site_type_symbol
_atom_site_fract_x
_atom_site_fract_y
_atom_site_fract_z
Li1 Li 0.0000 0.0000 0.0000
Fe1 Fe 0.0000 0.0000 0.4949
Fe2 Fe 0.0000 0.5000 0.7627
Cu1 Cu 0.0000 0.5000 0.2504
```

Properties
* formation energy: 0.252 eV per atom
* DOS at the Fermi energy: 0.812 states/eV per atom

[18]
DFT (PBE) results for a relaxed LiFeCu crystal.

Geometry as CIF:
```
data_LiFeCu
_chemical_formula_sum 'Li1 Fe1 Cu1'
_cell_length_a 2.5343
_cell_length_b 2.5343
_cell_length_c 6.6561
_cell_angle_alpha 90.00
_cell_angle_beta 90.00
_cell_angle_gamma 120.00
_space_group_name_H-M_alt 'P 3 m 1'
_space_group_IT_number 156
_space_group_name_Hall 'P 3 -2"'
loop_
_atom_site_label
_atom_site_type_symbol
_atom_site_fract_x
_atom_site_fract_y
_atom_site_fract_z
Li1 Li 0.0000 0.0000 0.0000
Fe1 Fe 0.3333 0.6667 0.6577
Cu1 Cu 0.6667 0.3333 0.3337
```

Properties
* offset from the most stable computed form: 0.004 eV per atom
* formation energy: 0.150 eV per atom
* DOS at the Fermi energy: 0.913 states/eV per atom

[19]
DFT (PBE) results for a relaxed LiFe2Cu crystal.

Geometry as CIF:
```
data_LiFe2Cu
_chemical_formula_sum 'Li2 Fe4 Cu2'
_cell_length_a 3.4658
_cell_length_b 3.4658
_cell_length_c 7.8604
_cell_angle_alpha 90.00
_cell_angle_beta 90.00
_cell_angle_gamma 90.00
_space_group_name_H-M_alt 'I 4/m m m'
_space_group_IT_number 139
_space_group_name_Hall '-I 4 2'
loop_
_atom_site_label
_atom_site_type_symbol
_atom_site_fract_x
_atom_site_fract_y
_atom_site_fract_z
Li1 Li 0.0000 0.0000 0.0000
Fe1 Fe 0.0000 0.5000 0.2500
Cu1 Cu 0.0000 0.0000 0.5000
```

Properties
* formation energy: 0.219 eV per atom
* DOS at the Fermi energy: 0.987 states/eV per atom

[20]
DFT (PBE) results for a relaxed LiFe2Cu crystal.

Geometry as CIF:
```
data_LiFe2Cu
_chemical_formula_sum 'Li2 Fe4 Cu2'
_cell_length_a 8.4141
_cell_length_b 2.4584
_cell_length_c 4.6647
_cell_angle_alpha 90.00
_cell_angle_beta 96.91
_cell_angle_gamma 90.00
_space_group_name_H-M_alt 'C 1 m 1'
_space_group_IT_number 8
_space_group_name_Hall 'C -2y'
loop_
_atom_site_label
_atom_site_type_symbol
_atom_site_fract_x
_atom_site_fract_y
_atom_site_fract_z
Li1 Li 0.0000 0.0000 0.0000
Fe1 Fe 0.2428 0.0000 0.7390
Fe2 Fe 0.4940 0.0000 0.5018
Cu1 Cu 0.2509 0.5000 0.2423
```

Properties
* formation energy: 0.197 eV per atom
* DOS at the Fermi energy: 0.757 states/eV per atom

no.,mass density (g/cm³)
1,5.901
2,6.627
3,6.226
4,5.637
5,6.592
6,6.152
7,6.440
8,6.233
9,6.145
10,6.226
11,5.580
12,2.306
13,5.609
14,5.690
15,6.348
16,4.694
17,6.301
18,5.666
19,6.408
20,6.316